1.
Density functional theory data (SCAN) for a crystal of SbTeP2 relaxed with PBEsol.

extended XYZ file:
```
4
Lattice="4.876 0.000 0.000 2.438 4.223 0.000 2.438 1.408 3.981" Properties=species:S:1:pos:R:3 pbc="T T T"
P 0.000 0.000 0.000
Te 7.314 4.223 2.986
Sb 4.876 2.815 1.991
P 2.438 1.408 0.995
```

As for the raw total energy: -92.23 eV per cell. The theoretical density comes out at 6.3 g cm⁻³. The value obtained for the relative energy among the computed polymorphs is 561 meV/atom. The symmetry is No. 216. Its formation energy without anion corrections is 0.771 eV/atom.

=====

2.
Density functional theory data (SCAN) for a crystal of SbTeP relaxed with PBEsol.

extended XYZ file:
```
3
Lattice="3.202 -0.006 0.000 -1.110 3.003 0.000 -1.046 -1.498 7.279" Properties=species:S:1:pos:R:3 pbc="T T T"
Sb 1.046 1.498 2.058
Te 0.000 0.000 5.073
P 0.000 0.000 0.148
```

As for the raw total energy: -83.32 eV per cell. The theoretical density comes out at 6.7 g cm⁻³. The symmetry is No. 42. Its formation energy without anion corrections is 0.532 eV/atom.

=====

What is the formula in the first record?
SbTeP2

=====

What did the second record say?
Density functional theory data (SCAN) for a crystal of SbTeP relaxed with PBEsol.

extended XYZ file:
```
3
Lattice="3.202 -0.006 0.000 -1.110 3.003 0.000 -1.046 -1.498 7.279" Properties=species:S:1:pos:R:3 pbc="T T T"
Sb 1.046 1.498 2.058
Te 0.000 0.000 5.073
P 0.000 0.000 0.148
```

As for the raw total energy: -83.32 eV per cell. The theoretical density comes out at 6.7 g cm⁻³. The symmetry is No. 42. Its formation energy without anion corrections is 0.532 eV/atom.